Record 1
MnNiTe2 | PBE | relaxed Values from VASP.

Output
As for the space group: Amm2, No. 38. As for the uncorrected formation energy: -30 kJ/mol of formula units.

Structure (Quantum ESPRESSO input):
```
&SYSTEM
  ibrav = 0, nat = 4, ntyp = 3
/
ATOMIC_SPECIES
Mn 54.94 Mn.upf
Ni 58.69 Ni.upf
Te 127.60 Te.upf
CELL_PARAMETERS angstrom
4.629 0.000 0.000
0.000 2.641 3.526
0.000 -2.641 3.526
ATOMIC_POSITIONS crystal
Mn 0.000 0.000 0.000
Ni 0.500 0.187 0.187
Te 0.000 0.377 0.377
Te 0.500 0.807 0.807
```



Record 2
NbSn2Pd | PBE | relaxed Values from VASP.

Output
As for the space group: Fm-3m, No. 225. The calculation puts the energy above the most stable polymorph in this dataset at 173 meV per atom. The formation enthalpy at 0 K is -0.037 eV per atom.

Structure (Quantum ESPRESSO input):
```
&SYSTEM
  ibrav = 0, nat = 4, ntyp = 3
/
ATOMIC_SPECIES
Nb 92.91 Nb.upf
Sn 118.71 Sn.upf
Pd 106.42 Pd.upf
CELL_PARAMETERS angstrom
0.000 3.389 3.389
3.389 0.000 3.389
3.389 3.389 0.000
ATOMIC_POSITIONS crystal
Nb 0.000 0.000 0.000
Sn 0.250 0.250 0.250
Sn 0.750 0.750 0.750
Pd 0.500 0.500 0.500
```



Record 3
Ac2LaNi | PBE | relaxed Values from VASP.

Output
As for the space group: R-3m, No. 166. The calculation puts the energy above the most stable polymorph in this dataset at 245 meV per atom. The formation enthalpy at 0 K is 0.096 eV per atom.

Structure (Quantum ESPRESSO input):
```
&SYSTEM
  ibrav = 0, nat = 4, ntyp = 3
/
ATOMIC_SPECIES
Ac 227.00 Ac.upf
La 138.91 La.upf
Ni 58.69 Ni.upf
CELL_PARAMETERS angstrom
1.988 1.148 10.925
-1.988 1.148 10.925
0.000 -2.296 10.925
ATOMIC_POSITIONS crystal
Ac 0.113 0.113 0.113
Ac 0.887 0.887 0.887
La 0.000 0.000 0.000
Ni 0.500 0.500 0.500
```



Record 4
Ta2CoTc | PBE | relaxed Values from VASP.

Output
As for the space group: P4/mmm, No. 123. The calculation puts the energy above the most stable polymorph in this dataset at 0 meV per atom. The formation enthalpy at 0 K is -0.278 eV per atom.

Structure (Quantum ESPRESSO input):
```
&SYSTEM
  ibrav = 0, nat = 4, ntyp = 3
/
ATOMIC_SPECIES
Ta 180.95 Ta.upf
Co 58.93 Co.upf
Tc 98.00 Tc.upf
CELL_PARAMETERS angstrom
3.163 0.000 0.000
0.000 3.163 0.000
0.000 0.000 6.155
ATOMIC_POSITIONS crystal
Ta 0.000 0.000 0.244
Ta 0.000 0.000 0.756
Co 0.500 0.500 0.000
Tc 0.500 0.500 0.500
```



Record 5
AsP2Rh | PBE | relaxed Values from VASP.

Output
As for the space group: Pmmm, No. 47. The formation enthalpy at 0 K is 0.358 eV per atom.

Structure (Quantum ESPRESSO input):
```
&SYSTEM
  ibrav = 0, nat = 4, ntyp = 3
/
ATOMIC_SPECIES
As 74.92 As.upf
P 30.97 P.upf
Rh 102.91 Rh.upf
CELL_PARAMETERS angstrom
2.912 0.000 0.000
0.000 4.509 0.000
0.000 0.000 4.591
ATOMIC_POSITIONS crystal
As 0.000 0.000 0.000
P 0.000 0.500 0.500
P 0.500 0.500 0.000
Rh 0.500 0.000 0.500
```



Record 6
Li2ZrSe | PBE | relaxed Values from VASP.

Output
As for the space group: P4mm, No. 99. As for the uncorrected formation energy: -195 kJ/mol of formula units.

Structure (Quantum ESPRESSO input):
```
&SYSTEM
  ibrav = 0, nat = 4, ntyp = 3
/
ATOMIC_SPECIES
Li 6.94 Li.upf
Zr 91.22 Zr.upf
Se 78.96 Se.upf
CELL_PARAMETERS angstrom
3.471 0.000 0.000
0.000 3.471 0.000
0.000 0.000 6.186
ATOMIC_POSITIONS crystal
Li 0.000 0.000 0.000
Li 0.500 0.500 0.205
Zr 0.500 0.500 0.688
Se 0.000 0.000 0.472
```



| no. | magnetic moment (μB/cell) | VASP energy (eV/atom) |
| --- | --- | --- |
| 1 | 3.93 | -5.39 |
| 2 | 0.00 | -5.85 |
| 3 | 0.57 | -4.64 |
| 4 | 1.33 | -10.57 |
| 5 | 0.00 | -5.35 |
| 6 | 0.01 | -4.47 |